First-principles (PBE-GGA) data for a relaxed structure of Ca3In2Rh2, as listed in the Alexandria database.

Summary:
Spin magnetization, μB per formula unit: 0.00
Energy of formation, eV per atom: -0.52
Crystal system: orthorhombic
SG: Pbcm, No. 57
Uncorrected energy, eV per cell: -119.2

Cell lengths 5.910, 8.118, 14.453 Å; angles 90.00, 90.00, 90.00 degrees
Fractional coordinates of all 28 atoms:
Ca (0.386, 0.262, 0.750)
Ca (0.152, 0.600, 0.092)
Ca (0.848, 0.400, 0.908)
Ca (0.848, 0.100, 0.092)
Ca (0.386, 0.238, 0.250)
Ca (0.152, 0.600, 0.408)
Ca (0.614, 0.762, 0.750)
Ca (0.848, 0.100, 0.408)
Ca (0.152, 0.900, 0.908)
Ca (0.152, 0.900, 0.592)
Ca (0.848, 0.400, 0.592)
Ca (0.614, 0.738, 0.250)
Rh (0.647, 0.463, 0.093)
Rh (0.353, 0.963, 0.407)
Rh (0.647, 0.037, 0.593)
Rh (0.353, 0.963, 0.093)
Rh (0.353, 0.537, 0.907)
Rh (0.647, 0.463, 0.407)
Rh (0.647, 0.037, 0.907)
Rh (0.353, 0.537, 0.593)
In (0.875, 0.105, 0.750)
In (0.125, 0.605, 0.750)
In (0.370, 0.250, 0.500)
In (0.370, 0.250, 0.000)
In (0.630, 0.750, 0.000)
In (0.630, 0.750, 0.500)
In (0.125, 0.895, 0.250)
In (0.875, 0.395, 0.250)

First-principles (PBE-GGA) data for a relaxed structure of MnCoOs2Br, as listed in the Alexandria database.

Summary:
Formation energy (no corrections), meV/atom: 2219
Spin magnetization, μB per formula unit: 0.09
Crystal system: tetragonal
SG: P4/mmm, No. 123
Uncorrected energy, eV per cell: -29.3

Cell lengths 4.449, 4.540, 4.449 Å; angles 90.00, 90.00, 90.00 degrees
Fractional coordinates of all 5 atoms:
Co (0.000, 0.000, 0.000)
Br (0.000, 0.500, 0.000)
Os (0.000, 0.000, 0.500)
Os (0.500, 0.000, 0.000)
Mn (0.500, 0.500, 0.500)